# 1
Below is a relaxed structure of LiTmIn4S8, with properties calculated at the PBE level.

a b c (Å): 7.7484 7.7484 18.9875
angles (deg): 90.00 90.00 120.00
Space group R3m (No. 160, hexagonal axes)
Symmetry-distinct sites (fractional):
Li1 0.0000 0.0000 0.0000 [3 per cell]
Tm1 0.0000 0.0000 0.6323 [3 per cell]
In1 0.0000 0.0000 0.2474 [3 per cell]
In2 0.1753 0.3507 0.4548 [9 per cell]
S1 0.0000 0.0000 0.3834 [3 per cell]
S2 0.0000 0.0000 0.8676 [3 per cell]
S3 0.0083 0.5042 0.3777 [9 per cell]
S4 0.1778 0.3556 0.2042 [9 per cell]

Values from the calculation:
size of the total moment: 0.0000 μB per atom
E: -4.512 eV per atom



# 2
Below is a relaxed structure of Li3Tm3InS8, with properties calculated at the PBE level.

a b c (Å): 7.7068 7.7068 18.2632
angles (deg): 90.00 90.00 120.00
Space group R-3m (No. 166, hexagonal axes)
Symmetry-distinct sites (fractional):
Li1 0.0000 0.5000 0.0000 [9 per cell]
Tm1 0.0000 0.5000 0.5000 [9 per cell]
In1 0.0000 0.0000 0.5000 [3 per cell]
S1 0.0000 0.0000 0.2495 [6 per cell]
S2 0.0066 0.5033 0.2494 [18 per cell]

Values from the calculation:
size of the total moment: 0.0001 μB per atom
E: -5.155 eV per atom



# 3
Below is a relaxed structure of Li4Tm3InS8, with properties calculated at the PBE level.

a b c (Å): 7.6678 7.6678 18.5570
angles (deg): 90.00 90.00 120.00
Space group R-3m (No. 166, hexagonal axes)
Symmetry-distinct sites (fractional):
Li1 0.0000 0.0000 0.0000 [3 per cell]
Li2 0.0000 0.5000 0.0000 [9 per cell]
Tm1 0.0000 0.5000 0.5000 [9 per cell]
In1 0.0000 0.0000 0.5000 [3 per cell]
S1 0.0000 0.0000 0.2490 [6 per cell]
S2 0.0037 0.5018 0.2496 [18 per cell]

Values from the calculation:
size of the total moment: 0.0000 μB per atom
E: -5.153 eV per atom



# 4
Below is a relaxed structure of Li3U3InS8, with properties calculated at the PBE level.

a b c (Å): 7.7769 7.7769 18.6332
angles (deg): 90.00 90.00 120.00
Space group R-3m (No. 166, hexagonal axes)
Symmetry-distinct sites (fractional):
Li1 0.0000 0.5000 0.0000 [9 per cell]
U1 0.0000 0.5000 0.5000 [9 per cell]
In1 0.0000 0.0000 0.5000 [3 per cell]
S1 0.0000 0.0000 0.2519 [6 per cell]
S2 0.0066 0.5033 0.2490 [18 per cell]

Values from the calculation:
size of the total moment: 0.5271 μB per atom
E: -6.234 eV per atom



# 5
Below is a relaxed structure of LiInWS2, with properties calculated at the PBE level.

a b c (Å): 4.3179 4.3179 4.6523
angles (deg): 90.00 90.00 90.00
Space group P4/mmm (No. 123)
Symmetry-distinct sites (fractional):
Li1 0.0000 0.0000 0.0000 [1 per cell]
In1 0.5000 0.5000 0.5000 [1 per cell]
W1 0.0000 0.0000 0.5000 [1 per cell]
S1 0.0000 0.5000 0.0000 [2 per cell]

Values from the calculation:
size of the total moment: 0.0001 μB per atom
E: -4.216 eV per atom



# 6
Below is a relaxed structure of LiY2InS, with properties calculated at the PBE level.

a b c (Å): 5.2850 5.2850 4.4259
angles (deg): 90.00 90.00 90.00
Space group P4/mmm (No. 123)
Symmetry-distinct sites (fractional):
Li1 0.0000 0.0000 0.0000 [1 per cell]
Y1 0.0000 0.5000 0.5000 [2 per cell]
In1 0.5000 0.5000 0.0000 [1 per cell]
S1 0.0000 0.0000 0.5000 [1 per cell]

Values from the calculation:
size of the total moment: 0.0000 μB per atom
E: -5.273 eV per atom



| no. | uncorrected formation energy (meV/atom) |
| --- | --- |
| 1 | -915 |
| 2 | -1494 |
| 3 | -1601 |
| 4 | -1210 |
| 5 | 957 |
| 6 | -931 |